GeTe3Ir | the Alexandria database | PBE | relaxed; density of states at the Fermi level = 1.430 states/eV per atom; ΔE to the lowest computed polymorph = 3.79 eV per formula unit; raw total energy = -3.246 eV/atom
1.0
5.230 0.000 0.000
0.000 5.230 0.000
0.000 0.000 5.230
Ge Te Ir
1 3 1
Direct
0.000 0.000 0.000
0.000 0.000 0.500
0.000 0.500 0.000
0.500 0.000 0.000
0.500 0.500 0.500